Ti2GePb (PBE-GGA, optimized geometry); SG = I-42d, No. 122; total moment = 0.00 μB/f.u.; calculated volume = 80.3 Å³/f.u.; calculated total energy = -6.022 eV/atom
1.0
-3.677 3.677 2.971
3.677 -3.677 2.971
3.677 3.677 -2.971
Ti Ge Pb
4 2 2
Direct
0.099 0.625 0.974
0.375 0.349 0.474
0.651 0.125 0.026
0.875 0.901 0.526
0.000 0.000 0.000
0.750 0.250 0.500
0.250 0.750 0.500
0.500 0.500 0.000

Si2TcW (PBE-GGA, optimized geometry); SG = F-43m, No. 216; total moment = 0.00 μB/f.u.; excess energy over the best structure of this formula in the dataset = 528 meV per atom; calculated volume = 58.1 Å³/f.u.
1.0
0.000 3.073 3.073
3.073 0.000 3.073
3.073 3.073 0.000
Si Tc W
2 1 1
Direct
0.000 0.000 0.000
0.250 0.250 0.250
0.500 0.500 0.500
0.750 0.750 0.750

Nd4Sm4Mg (PBE-GGA, optimized geometry); SG = Cmcm, No. 63; total moment = 0.00 μB/f.u.; excess energy over the best structure of this formula in the dataset = 147 meV per atom; calculated volume = 304.7 Å³/f.u.
1.0
6.360 -7.247 0.000
6.360 7.247 0.000
0.000 0.000 6.611
Nd Sm Mg
8 8 2
Direct
0.063 0.477 0.750
0.146 0.146 0.000
0.146 0.146 0.500
0.477 0.063 0.250
0.523 0.937 0.750
0.854 0.854 0.000
0.854 0.854 0.500
0.937 0.523 0.250
0.203 0.797 0.013
0.203 0.797 0.487
0.279 0.463 0.250
0.463 0.279 0.750
0.537 0.721 0.250
0.721 0.537 0.750
0.797 0.203 0.513
0.797 0.203 0.987
0.401 0.599 0.750
0.599 0.401 0.250

Pm12Cd5Tc3 (PBE-GGA, optimized geometry); SG = Ia-3d, No. 230; total moment = 0.00 μB/f.u.; calculated volume = 678.5 Å³/f.u.; calculated total energy = -4.233 eV/atom
1.0
-8.787 8.787 8.787
8.787 -8.787 8.787
8.787 8.787 -8.787
Pm Cd Tc
48 20 12
Direct
0.060 0.631 0.394
0.060 0.929 0.666
0.071 0.238 0.131
0.071 0.334 0.940
0.106 0.738 0.666
0.106 0.869 0.440
0.131 0.071 0.238
0.131 0.560 0.894
0.166 0.238 0.606
0.166 0.429 0.560
0.238 0.131 0.071
0.238 0.606 0.166
0.262 0.334 0.894
0.262 0.429 0.369
0.334 0.894 0.262
0.334 0.940 0.071
0.369 0.262 0.429
0.369 0.606 0.940
0.394 0.060 0.631
0.394 0.834 0.762
0.429 0.369 0.262
0.429 0.560 0.166
0.440 0.106 0.869
0.440 0.834 0.571
0.560 0.166 0.429
0.560 0.894 0.131
0.571 0.440 0.834
0.571 0.631 0.738
0.606 0.166 0.238
0.606 0.940 0.369
0.631 0.394 0.060
0.631 0.738 0.571
0.666 0.060 0.929
0.666 0.106 0.738
0.738 0.571 0.631
0.738 0.666 0.106
0.762 0.394 0.834
0.762 0.869 0.929
0.834 0.571 0.440
0.834 0.762 0.394
0.869 0.440 0.106
0.869 0.929 0.762
0.894 0.131 0.560
0.894 0.262 0.334
0.929 0.666 0.060
0.929 0.762 0.869
0.940 0.071 0.334
0.940 0.369 0.606
0.000 0.000 0.000
0.000 0.000 0.500
0.000 0.500 0.000
0.000 0.500 0.500
0.125 0.750 0.875
0.125 0.875 0.250
0.250 0.125 0.875
0.250 0.625 0.375
0.375 0.250 0.625
0.375 0.625 0.750
0.500 0.000 0.000
0.500 0.000 0.500
0.500 0.500 0.000
0.500 0.500 0.500
0.625 0.375 0.250
0.625 0.750 0.375
0.750 0.375 0.625
0.750 0.875 0.125
0.875 0.125 0.750
0.875 0.250 0.125
0.125 0.250 0.375
0.125 0.375 0.750
0.250 0.375 0.125
0.250 0.875 0.625
0.375 0.125 0.250
0.375 0.750 0.125
0.625 0.250 0.875
0.625 0.875 0.750
0.750 0.125 0.375
0.750 0.625 0.875
0.875 0.625 0.250
0.875 0.750 0.625